(1)
# LaBeGe3 (PBE-GGA, relaxed)
data_LaBeGe3
_chemical_formula_sum 'La4 Be4 Ge12'
_cell_length_a 6.118
_cell_length_b 10.459
_cell_length_c 6.291
_cell_angle_alpha 90.00
_cell_angle_beta 90.00
_cell_angle_gamma 90.00
_symmetry_space_group_name_H-M 'P n m a'
_symmetry_Int_Tables_number 62
loop_
_symmetry_equiv_pos_as_xyz
'x,y,z'
'-x,-y,-z'
'-x+1/2,-y,z+1/2'
'x+1/2,y,-z+1/2'
'x+1/2,-y+1/2,-z+1/2'
'-x+1/2,y+1/2,z+1/2'
'-x,y+1/2,-z'
'x,-y+1/2,z'
loop_
_atom_site_label
_atom_site_type_symbol
_atom_site_fract_x
_atom_site_fract_y
_atom_site_fract_z
_atom_site_occupancy
La1 La 0.000 0.000 0.000 1
Be1 Be 0.245 0.250 0.210 1
Ge1 Ge 0.024 0.118 0.456 1
Ge2 Ge 0.234 0.250 0.799 1
# D(E_F): 7.378 states/eV/cell
# calculated formation energy: -0.228 eV/atom
# offset from the most stable computed form: 0.0956 eV/atom

(2)
# Sc2TiAlO (PBE-GGA, relaxed)
data_Sc2TiAlO
_chemical_formula_sum 'Sc2 Ti1 Al1 O1'
_cell_length_a 4.413
_cell_length_b 4.413
_cell_length_c 4.099
_cell_angle_alpha 90.00
_cell_angle_beta 90.00
_cell_angle_gamma 90.00
_symmetry_space_group_name_H-M 'P 4/m m m'
_symmetry_Int_Tables_number 123
_symmetry_space_group_name_Hall '-P 4 2'
loop_
_atom_site_label
_atom_site_type_symbol
_atom_site_fract_x
_atom_site_fract_y
_atom_site_fract_z
_atom_site_occupancy
Sc1 Sc 0.000 0.500 0.000 1
Ti1 Ti 0.000 0.000 0.500 1
Al1 Al 0.500 0.500 0.500 1
O1 O 0.000 0.000 0.000 1
# D(E_F): 3.794 states/eV/cell
# energy: -7.2087 eV per atom

(3)
# YTmGa (PBE-GGA, relaxed)
data_YTmGa
_chemical_formula_sum 'Y1 Tm1 Ga1'
_cell_length_a 4.9450
_cell_length_b 4.9450
_cell_length_c 3.6486
_cell_angle_alpha 90.00
_cell_angle_beta 90.00
_cell_angle_gamma 120.00
_symmetry_space_group_name_H-M 'P 3 m 1'
_symmetry_Int_Tables_number 156
loop_
_symmetry_equiv_pos_as_xyz
'x,y,z'
'-y,x-y,z'
'-x+y,-x,z'
'-y,-x,z'
'-x+y,y,z'
'x,x-y,z'
loop_
_atom_site_label
_atom_site_type_symbol
_atom_site_fract_x
_atom_site_fract_y
_atom_site_fract_z
_atom_site_occupancy
Y1 Y 0.0000 0.0000 0.0000 1
Tm1 Tm 0.6667 0.3333 0.4676 1
Ga1 Ga 0.3333 0.6667 0.6829 1
# D(E_F): 2.456 states/eV/cell
# calculated formation energy: -0.278 eV/atom
# offset from the most stable computed form: 0.1455 eV/atom

(4)
# LuHgBi (PBE-GGA, relaxed)
data_LuHgBi
_chemical_formula_sum 'Lu2 Hg2 Bi2'
_cell_length_a 4.219
_cell_length_b 4.219
_cell_length_c 9.394
_cell_angle_alpha 90.00
_cell_angle_beta 90.00
_cell_angle_gamma 90.00
_symmetry_space_group_name_H-M 'I 4 m m'
_symmetry_Int_Tables_number 107
_symmetry_space_group_name_Hall 'I 4 -2'
loop_
_atom_site_label
_atom_site_type_symbol
_atom_site_fract_x
_atom_site_fract_y
_atom_site_fract_z
_atom_site_occupancy
Lu1 Lu 0.000 0.000 0.000 1
Hg1 Hg 0.000 0.000 0.323 1
Bi1 Bi 0.000 0.000 0.651 1
# D(E_F): 3.706 states/eV/cell
# calculated formation energy: -0.285 eV/atom
# offset from the most stable computed form: 0.0865 eV/atom

(5)
# ThMnReGe2 (PBE-GGA, relaxed)
data_ThMnReGe2
_chemical_formula_sum 'Th2 Mn2 Re2 Ge4'
_cell_length_a 4.148
_cell_length_b 4.148
_cell_length_c 10.805
_cell_angle_alpha 90.00
_cell_angle_beta 90.00
_cell_angle_gamma 90.00
_symmetry_space_group_name_H-M 'I -4 m 2'
_symmetry_Int_Tables_number 119
_symmetry_space_group_name_Hall 'I -4 -2'
loop_
_atom_site_label
_atom_site_type_symbol
_atom_site_fract_x
_atom_site_fract_y
_atom_site_fract_z
_atom_site_occupancy
Th1 Th 0.000 0.000 0.000 1
Mn1 Mn 0.000 0.500 0.750 1
Re1 Re 0.000 0.500 0.250 1
Ge1 Ge 0.000 0.000 0.379 1
# D(E_F): 5.033 states/eV/cell
# calculated formation energy: -0.370 eV/atom

(6)
# CaSm3In4 (PBE-GGA, relaxed)
data_CaSm3In4
_chemical_formula_sum 'Ca1 Sm3 In4'
_cell_length_a 3.845
_cell_length_b 3.845
_cell_length_c 15.318
_cell_angle_alpha 90.00
_cell_angle_beta 90.00
_cell_angle_gamma 90.00
_symmetry_space_group_name_H-M 'P 4/m m m'
_symmetry_Int_Tables_number 123
_symmetry_space_group_name_Hall '-P 4 2'
loop_
_atom_site_label
_atom_site_type_symbol
_atom_site_fract_x
_atom_site_fract_y
_atom_site_fract_z
_atom_site_occupancy
Ca1 Ca 0.000 0.000 0.000 1
Sm1 Sm 0.000 0.000 0.249 1
Sm2 Sm 0.000 0.000 0.500 1
In1 In 0.500 0.500 0.126 1
In2 In 0.500 0.500 0.376 1
# D(E_F): 5.343 states/eV/cell
# calculated formation energy: -0.478 eV/atom

(7)
# Ti2TeBr (PBE-GGA, relaxed)
data_Ti2TeBr
_chemical_formula_sum 'Ti8 Te4 Br4'
_cell_length_a 5.136
_cell_length_b 5.136
_cell_length_c 16.000
_cell_angle_alpha 90.00
_cell_angle_beta 90.00
_cell_angle_gamma 90.00
_symmetry_space_group_name_H-M 'I -4 2 d'
_symmetry_Int_Tables_number 122
_symmetry_space_group_name_Hall 'I -4 2bw'
loop_
_atom_site_label
_atom_site_type_symbol
_atom_site_fract_x
_atom_site_fract_y
_atom_site_fract_z
_atom_site_occupancy
Ti1 Ti 0.212 0.250 0.125 1
Te1 Te 0.000 0.000 0.500 1
Br1 Br 0.000 0.000 0.000 1
# D(E_F): 17.030 states/eV/cell
# offset from the most stable computed form: 0.1796 eV/atom

(8)
# MnTl2Ir (PBE-GGA, relaxed)
data_MnTl2Ir
_chemical_formula_sum 'Mn1 Tl2 Ir1'
_cell_length_a 3.210
_cell_length_b 3.210
_cell_length_c 7.363
_cell_angle_alpha 90.00
_cell_angle_beta 90.00
_cell_angle_gamma 90.00
_symmetry_space_group_name_H-M 'P 4/m m m'
_symmetry_Int_Tables_number 123
_symmetry_space_group_name_Hall '-P 4 2'
loop_
_atom_site_label
_atom_site_type_symbol
_atom_site_fract_x
_atom_site_fract_y
_atom_site_fract_z
_atom_site_occupancy
Mn1 Mn 0.000 0.000 0.000 1
Tl1 Tl 0.500 0.500 0.255 1
Ir1 Ir 0.000 0.000 0.500 1
# D(E_F): 2.753 states/eV/cell
# calculated formation energy: 0.562 eV/atom
# offset from the most stable computed form: 0.2824 eV/atom

(9)
# ZnClF3 (PBE-GGA, relaxed)
data_ZnClF3
_chemical_formula_sum 'Zn1 Cl1 F3'
_cell_length_a 4.088
_cell_length_b 4.088
_cell_length_c 4.088
_cell_angle_alpha 90.00
_cell_angle_beta 90.00
_cell_angle_gamma 90.00
_symmetry_space_group_name_H-M 'P m -3 m'
_symmetry_Int_Tables_number 221
_symmetry_space_group_name_Hall '-P 4 2 3'
loop_
_atom_site_label
_atom_site_type_symbol
_atom_site_fract_x
_atom_site_fract_y
_atom_site_fract_z
_atom_site_occupancy
Zn1 Zn 0.000 0.000 0.000 1
Cl1 Cl 0.500 0.500 0.500 1
F1 F 0.000 0.000 0.500 1
# D(E_F): 3.177 states/eV/cell
# offset from the most stable computed form: 0.2817 eV/atom

(10)
# Y13Tm3 (PBE-GGA, relaxed)
data_Y13Tm3
_chemical_formula_sum 'Y26 Tm6'
_cell_length_a 7.275
_cell_length_b 11.275
_cell_length_c 12.576
_cell_angle_alpha 90.00
_cell_angle_beta 90.00
_cell_angle_gamma 90.00
_symmetry_space_group_name_H-M 'A m m 2'
_symmetry_Int_Tables_number 38
loop_
_symmetry_equiv_pos_as_xyz
'x,y,z'
'-x,-y,z'
'-x,y,z'
'x,-y,z'
'x,y+1/2,z+1/2'
'-x,-y+1/2,z+1/2'
'-x,y+1/2,z+1/2'
'x,-y+1/2,z+1/2'
loop_
_atom_site_label
_atom_site_type_symbol
_atom_site_fract_x
_atom_site_fract_y
_atom_site_fract_z
_atom_site_occupancy
Y1 Y 0.000 0.000 0.000 1
Y2 Y 0.000 0.000 0.498 1
Y3 Y 0.000 0.248 0.167 1
Y4 Y 0.250 0.000 0.748 1
Y5 Y 0.251 0.249 0.416 1
Y6 Y 0.500 0.000 0.000 1
Y7 Y 0.500 0.249 0.166 1
Tm1 Tm 0.251 0.000 0.250 1
Tm2 Tm 0.500 0.000 0.498 1
# D(E_F): 61.784 states/eV/cell
# calculated formation energy: 0.000 eV/atom
# offset from the most stable computed form: 0.0000 eV/atom